# 1
{"formula": "LiCdTe2O6", "functional": "PBE", "state": "relaxed", "raw_formation_energy_kcal_per_mol_atoms": -23.9, "space_group": "C2/c", "magnetic_moment_mub_per_fu": 0.00, "final_energy_ev_per_atom": -4.92, "cell": [[-2.487, 5.024, -3.538], [-5.902, 2.276, 3.634], [3.913, 5.874, 1.844]], "species": ["Li", "Li", "Cd", "Cd", "Te", "Te", "Te", "Te", "O", "O", "O", "O", "O", "O", "O", "O", "O", "O", "O", "O"], "fractional_positions": [[0.250, 0.204, 0.796], [0.750, 0.796, 0.204], [0.250, 0.909, 0.091], [0.750, 0.091, 0.909], [0.276, 0.780, 0.567], [0.224, 0.433, 0.220], [0.724, 0.220, 0.433], [0.776, 0.567, 0.780], [0.144, 0.976, 0.788], [0.356, 0.212, 0.024], [0.856, 0.024, 0.212], [0.644, 0.788, 0.976], [0.381, 0.917, 0.363], [0.119, 0.637, 0.083], [0.619, 0.083, 0.637], [0.881, 0.363, 0.917], [0.019, 0.646, 0.639], [0.481, 0.361, 0.354], [0.981, 0.354, 0.361], [0.519, 0.639, 0.646]]}

---

# 2
{"formula": "CuSnPd4", "functional": "PBE", "state": "relaxed", "e_above_lowest_polymorph_mev_per_atom": 8, "space_group": "C2/m", "magnetic_moment_mub_per_fu": 0.00, "final_energy_ev_per_atom": -5.13, "cell": [[3.707, 0.000, 1.072], [2.082, 4.418, -0.255], [0.231, -1.669, 6.144]], "species": ["Cu", "Sn", "Pd", "Pd", "Pd", "Pd"], "fractional_positions": [[0.000, 0.000, 0.000], [0.500, 0.500, 0.500], [0.829, 0.505, 0.837], [0.335, 0.006, 0.325], [0.171, 0.495, 0.163], [0.665, 0.994, 0.675]]}

---

# 3
{"formula": "RbZn3Rh", "functional": "PBE", "state": "relaxed", "e_above_lowest_polymorph_mev_per_atom": 1774, "space_group": "Pm-3m", "magnetic_moment_mub_per_fu": 0.03, "final_energy_ev_per_atom": -0.78, "cell": [[-4.550, -3.481, -2.099], [3.754, -2.391, -4.173], [1.558, -4.403, 3.925]], "species": ["Zn", "Zn", "Zn", "Rh", "Rb"], "fractional_positions": [[0.000, 0.500, 0.000], [0.000, 0.000, 0.500], [0.500, 0.000, 0.000], [0.500, 0.500, 0.500], [0.000, 0.000, 0.000]]}

---

# 4
{"formula": "PuHPb", "functional": "PBE", "state": "relaxed", "e_above_lowest_polymorph_mev_per_atom": 112, "space_group": "I4mm", "magnetic_moment_mub_per_fu": 5.74, "final_energy_ev_per_atom": -7.24, "cell": [[3.204, 0.000, 0.000], [0.000, 3.204, 0.000], [-1.602, -1.602, 5.968]], "species": ["Pb", "H", "Pu"], "fractional_positions": [[0.002, 0.002, 0.005], [0.271, 0.271, 0.542], [0.727, 0.727, 0.454]]}

---

# 5
{"formula": "Ce4Pr3Ge4", "functional": "PBE", "state": "relaxed", "space_group": "Immm", "magnetic_moment_mub_per_fu": 2.59, "final_energy_ev_per_atom": -5.74, "cell": [[4.001, 0.000, 0.000], [0.000, 8.548, 0.000], [-2.000, -4.274, 8.763]], "species": ["Ce", "Ce", "Ce", "Ce", "Pr", "Pr", "Pr", "Ge", "Ge", "Ge", "Ge"], "fractional_positions": [[0.329, 0.167, 0.659], [0.671, 0.508, 0.341], [0.671, 0.833, 0.341], [0.329, 0.492, 0.659], [0.095, 0.095, 0.191], [0.905, 0.905, 0.809], [0.000, 0.500, 0.000], [0.273, 0.773, 0.546], [0.727, 0.227, 0.454], [0.500, 0.777, 0.000], [0.500, 0.223, 0.000]]}

---

# 6
{"formula": "NaZnOs2", "functional": "PBE", "state": "relaxed", "space_group": "I-42d", "magnetic_moment_mub_per_fu": 0.00, "final_energy_ev_per_atom": -5.36, "cell": [[-2.237, -3.178, 0.455], [2.989, -1.859, 1.709], [-2.508, 0.740, 9.667]], "species": ["Na", "Na", "Zn", "Zn", "Os", "Os", "Os", "Os"], "fractional_positions": [[0.500, 0.500, 0.000], [0.250, 0.750, 0.500], [0.000, 0.000, 0.000], [0.750, 0.250, 0.500], [0.708, 0.125, 0.250], [0.042, 0.625, 0.250], [0.375, 0.292, 0.750], [0.875, 0.958, 0.750]]}

---

# 7
{"formula": "LiPr2CdPd6", "functional": "PBE", "state": "relaxed", "space_group": "P-1", "magnetic_moment_mub_per_fu": 0.00, "final_energy_ev_per_atom": -4.87, "cell": [[6.320, 0.716, -1.059], [1.170, 6.508, -1.472], [2.846, 2.808, 3.919]], "species": ["Li", "Pr", "Pr", "Cd", "Pd", "Pd", "Pd", "Pd", "Pd", "Pd"], "fractional_positions": [[0.000, 0.000, 0.000], [0.247, 0.749, 0.503], [0.753, 0.251, 0.497], [0.500, 0.500, 0.000], [0.433, 0.943, 0.810], [0.811, 0.701, 0.000], [0.186, 0.300, 0.514], [0.567, 0.057, 0.190], [0.189, 0.299, 0.000], [0.814, 0.700, 0.486]]}

---

# 8
{"formula": "Zn2Pd9Au", "functional": "PBE", "state": "relaxed", "space_group": "P4/mmm", "magnetic_moment_mub_per_fu": 0.00, "final_energy_ev_per_atom": -4.60, "cell": [[3.954, 0.000, 0.000], [0.000, 3.954, 0.000], [0.000, 0.000, 11.764]], "species": ["Zn", "Zn", "Pd", "Pd", "Pd", "Pd", "Pd", "Pd", "Pd", "Pd", "Pd", "Au"], "fractional_positions": [[0.000, 0.000, 0.338], [0.000, 0.000, 0.662], [0.500, 0.500, 0.000], [0.500, 0.500, 0.337], [0.500, 0.500, 0.663], [0.500, 0.000, 0.174], [0.500, 0.000, 0.500], [0.500, 0.000, 0.826], [0.000, 0.500, 0.174], [0.000, 0.500, 0.500], [0.000, 0.500, 0.826], [0.000, 0.000, 0.000]]}

---

# 9
{"formula": "ErSc2Cl", "functional": "PBE", "state": "relaxed", "raw_formation_energy_kcal_per_mol_atoms": -13.6, "space_group": "R-3m", "magnetic_moment_mub_per_fu": 0.32, "final_energy_ev_per_atom": -5.36, "cell": [[3.417, 0.000, 0.000], [1.709, 2.959, 0.000], [1.709, 0.986, 9.306]], "species": ["Sc", "Sc", "Cl", "Er"], "fractional_positions": [[0.739, 0.739, 0.784], [0.261, 0.261, 0.216], [0.000, 0.000, 0.000], [0.500, 0.500, 0.500]]}

---

# 10
{"formula": "La2PmGa", "functional": "PBE", "state": "relaxed", "e_above_lowest_polymorph_mev_per_atom": 0, "space_group": "P2_1/m", "magnetic_moment_mub_per_fu": 0.00, "final_energy_ev_per_atom": -4.67, "cell": [[-0.593, -4.279, -2.939], [6.698, -1.589, 0.964], [-3.998, -2.970, 5.131]], "species": ["La", "La", "La", "La", "Pm", "Pm", "Ga", "Ga"], "fractional_positions": [[0.250, 0.402, 0.219], [0.750, 0.598, 0.781], [0.750, 0.112, 0.884], [0.250, 0.888, 0.116], [0.250, 0.243, 0.618], [0.750, 0.757, 0.382], [0.750, 0.211, 0.362], [0.250, 0.789, 0.638]]}

---

# 11
{"formula": "Y2Er5Tm2", "functional": "PBE", "state": "relaxed", "e_above_lowest_polymorph_mev_per_atom": 108, "space_group": "Ima2", "magnetic_moment_mub_per_fu": 0.00, "final_energy_ev_per_atom": -4.74, "cell": [[11.573, 0.000, 0.000], [0.000, 6.678, 0.000], [-5.786, -3.339, 7.385]], "species": ["Y", "Y", "Y", "Y", "Er", "Er", "Er", "Er", "Er", "Er", "Er", "Er", "Er", "Er", "Tm", "Tm", "Tm", "Tm"], "fractional_positions": [[0.119, 0.686, 0.255], [0.881, 0.431, 0.745], [0.635, 0.186, 0.255], [0.365, 0.931, 0.745], [0.208, 0.659, 0.894], [0.792, 0.764, 0.106], [0.186, 0.159, 0.894], [0.814, 0.264, 0.106], [0.381, 0.032, 0.285], [0.619, 0.747, 0.715], [0.404, 0.532, 0.285], [0.596, 0.247, 0.715], [0.988, 0.652, 0.500], [0.012, 0.152, 0.500], [0.000, 0.000, 0.000], [0.500, 0.500, 0.000], [0.266, 0.365, 0.500], [0.734, 0.865, 0.500]]}

---

# 12
{"formula": "Re5As3", "functional": "PBE", "state": "relaxed", "e_above_lowest_polymorph_mev_per_atom": 0, "space_group": "Cmmm", "magnetic_moment_mub_per_fu": 0.00, "final_energy_ev_per_atom": -9.09, "cell": [[3.086, -4.385, 0.000], [3.086, 4.385, 0.000], [0.000, 0.000, 4.442]], "species": ["Re", "Re", "Re", "Re", "Re", "As", "As", "As"], "fractional_positions": [[0.000, 0.000, 0.000], [0.000, 0.500, 0.000], [0.500, 0.000, 0.000], [0.242, 0.242, 0.500], [0.758, 0.758, 0.500], [0.500, 0.500, 0.000], [0.752, 0.248, 0.500], [0.248, 0.752, 0.500]]}